[1]
CaTb2DyS4 PBE relaxed; energy = -0.22323 hartree per atom; crystal system = monoclinic
1.0
6.826 0.000 0.000
0.000 3.923 0.000
-2.242 0.000 6.454
Ca Tb Dy S
1 2 1 4
Direct
0.000 0.000 0.000 Ca
0.000 0.500 0.500 Tb
0.500 0.000 0.500 Tb
0.500 0.500 0.000 Dy
0.251 0.000 0.752 S
0.252 0.500 0.250 S
0.748 0.500 0.750 S
0.749 0.000 0.248 S



[2]
CaTbDy4S8 PBE relaxed; energy = -0.22601 hartree per atom; crystal system = trigonal
1.0
4.045 2.335 6.615
-4.045 2.335 6.615
0.000 -4.671 6.615
Ca Tb Dy S
1 1 4 8
Direct
0.000 0.000 0.000 Ca
0.627 0.627 0.627 Tb
0.119 0.627 0.627 Dy
0.250 0.250 0.250 Dy
0.627 0.119 0.627 Dy
0.627 0.627 0.119 Dy
0.382 0.382 0.852 S
0.382 0.852 0.382 S
0.383 0.383 0.383 S
0.406 0.866 0.866 S
0.852 0.382 0.382 S
0.865 0.865 0.865 S
0.866 0.406 0.866 S
0.866 0.866 0.406 S



[3]
CaDyTeS PBE relaxed; energy = -0.18533 hartree per atom; crystal system = trigonal
1.0
2.025 1.169 7.506
-2.025 1.169 7.506
0.000 -2.338 7.506
Ca Dy Te S
1 1 1 1
Direct
0.000 0.000 0.000 Ca
0.156 0.156 0.156 Dy
0.575 0.575 0.575 Te
0.749 0.749 0.749 S



[4]
Ca2DyThS4 PBE relaxed; energy = -0.22156 hartree per atom; crystal system = monoclinic
1.0
6.862 0.000 0.000
0.000 3.942 0.000
-2.260 0.000 6.683
Ca Dy Th S
2 1 1 4
Direct
0.000 0.000 0.000 Ca
0.500 0.500 0.000 Ca
0.000 0.500 0.500 Dy
0.500 0.000 0.500 Th
0.242 0.500 0.245 S
0.244 0.000 0.748 S
0.756 0.000 0.252 S
0.758 0.500 0.755 S



[5]
CaDy2Tl3S6 PBE relaxed; energy = -0.18132 hartree per atom; crystal system = monoclinic
1.0
3.535 -6.122 0.000
3.535 6.122 0.000
-2.348 0.000 7.232
Ca Dy Tl S
1 2 3 6
Direct
0.000 0.000 0.000 Ca
0.333 0.667 0.000 Dy
0.667 0.333 0.000 Dy
0.165 0.835 0.500 Tl
0.500 0.500 0.500 Tl
0.835 0.165 0.500 Tl
0.069 0.414 0.207 S
0.277 0.277 0.796 S
0.414 0.069 0.207 S
0.586 0.931 0.793 S
0.723 0.723 0.204 S
0.931 0.586 0.793 S



[6]
Ca2DyTmS4 PBE relaxed; energy = -0.21094 hartree per atom; crystal system = monoclinic
1.0
6.787 0.000 0.000
0.000 3.921 0.000
-2.266 0.000 6.517
Ca Dy Tm S
2 1 1 4
Direct
0.000 0.000 0.000 Ca
0.500 0.500 0.000 Ca
0.000 0.500 0.500 Dy
0.500 0.000 0.500 Tm
0.251 0.000 0.743 S
0.256 0.500 0.259 S
0.744 0.500 0.741 S
0.749 0.000 0.257 S



[7]
Ca3DyTm3S8 PBE relaxed; energy = -0.21617 hartree per atom; crystal system = trigonal
1.0
3.901 2.252 6.518
-3.901 2.252 6.518
0.000 -4.504 6.518
Ca Dy Tm S
3 1 3 8
Direct
0.000 0.500 0.500 Ca
0.500 0.000 0.500 Ca
0.500 0.500 0.000 Ca
0.500 0.500 0.500 Dy
0.000 0.000 0.500 Tm
0.000 0.500 0.000 Tm
0.500 0.000 0.000 Tm
0.243 0.747 0.747 S
0.246 0.246 0.246 S
0.253 0.253 0.757 S
0.253 0.757 0.253 S
0.747 0.243 0.747 S
0.747 0.747 0.243 S
0.754 0.754 0.754 S
0.757 0.253 0.253 S



[8]
CaDy2TmS4 PBE relaxed; energy = -0.22146 hartree per atom; crystal system = monoclinic
1.0
6.771 0.000 0.000
0.000 3.896 0.000
-2.227 0.000 6.412
Ca Dy Tm S
1 2 1 4
Direct
0.000 0.000 0.000 Ca
0.000 0.500 0.500 Dy
0.500 0.000 0.500 Dy
0.500 0.500 0.000 Tm
0.254 0.000 0.754 S
0.254 0.500 0.250 S
0.746 0.000 0.246 S
0.746 0.500 0.750 S